# MgNb | OQMD | PBE-GGA | optimized geometry
data_MgNb
_cell_length_a 4.983
_cell_length_b 9.392
_cell_length_c 4.957
_cell_angle_alpha 90.00
_cell_angle_beta 90.00
_cell_angle_gamma 90.00
_space_group_name_H-M_alt 'P m c 21'
_space_group_IT_number 26
loop_
_space_group_symop_operation_xyz
'x,y,z'
'-x,-y,z+1/2'
'-x,y,z'
'x,-y,z+1/2'
loop_
_atom_site_label
_atom_site_type_symbol
_atom_site_fract_x
_atom_site_fract_y
_atom_site_fract_z
Mg1 Mg 0.000 0.082 0.000
Mg2 Mg 0.000 0.251 0.503
Mg3 Mg 0.500 0.249 0.132
Nb1 Nb 0.000 0.428 0.990
Nb2 Nb 0.500 0.076 0.646
Nb3 Nb 0.500 0.427 0.622
# - Volume: 232 Å³ per cell
# - Calculated total energy: -5.553 eV/atom



# MgNb | OQMD | PBE-GGA | optimized geometry
data_MgNb
_cell_length_a 5.499
_cell_length_b 5.499
_cell_length_c 5.499
_cell_angle_alpha 90.00
_cell_angle_beta 90.00
_cell_angle_gamma 90.00
_space_group_name_H-M_alt 'F m -3 m'
_space_group_IT_number 225
_space_group_name_Hall '-F 4 2 3'
loop_
_atom_site_label
_atom_site_type_symbol
_atom_site_fract_x
_atom_site_fract_y
_atom_site_fract_z
Mg1 Mg 0.000 0.000 0.000
Nb1 Nb 0.000 0.000 0.500
# - Volume: 166 Å³ per cell
# - Calculated total energy: -4.621 eV/atom



# MgNb | OQMD | PBE-GGA | optimized geometry
data_MgNb
_cell_length_a 6.146
_cell_length_b 6.146
_cell_length_c 6.146
_cell_angle_alpha 90.00
_cell_angle_beta 90.00
_cell_angle_gamma 90.00
_space_group_name_H-M_alt 'F -4 3 m'
_space_group_IT_number 216
_space_group_name_Hall 'F -4 2 3'
loop_
_atom_site_label
_atom_site_type_symbol
_atom_site_fract_x
_atom_site_fract_y
_atom_site_fract_z
Mg1 Mg 0.000 0.000 0.000
Nb1 Nb 0.250 0.250 0.750
# - Volume: 232 Å³ per cell
# - Calculated total energy: -3.267 eV/atom



# MgNb | OQMD | PBE-GGA | optimized geometry
data_MgNb
_cell_length_a 5.214
_cell_length_b 4.917
_cell_length_c 5.928
_cell_angle_alpha 90.00
_cell_angle_beta 90.00
_cell_angle_gamma 90.00
_space_group_name_H-M_alt 'P n m a'
_space_group_IT_number 62
loop_
_space_group_symop_operation_xyz
'x,y,z'
'-x,-y,-z'
'-x+1/2,-y,z+1/2'
'x+1/2,y,-z+1/2'
'x+1/2,-y+1/2,-z+1/2'
'-x+1/2,y+1/2,z+1/2'
'-x,y+1/2,-z'
'x,-y+1/2,z'
loop_
_atom_site_label
_atom_site_type_symbol
_atom_site_fract_x
_atom_site_fract_y
_atom_site_fract_z
Mg1 Mg 0.089 0.250 0.127
Nb1 Nb 0.093 0.250 0.625
# - Volume: 152 Å³ per cell
# - Calculated total energy: -5.498 eV/atom



# MgNb | OQMD | PBE-GGA | optimized geometry
data_MgNb
_cell_length_a 4.527
_cell_length_b 4.527
_cell_length_c 15.212
_cell_angle_alpha 90.00
_cell_angle_beta 90.00
_cell_angle_gamma 90.00
_space_group_name_H-M_alt 'I 4/m m m'
_space_group_IT_number 139
_space_group_name_Hall '-I 4 2'
loop_
_atom_site_label
_atom_site_type_symbol
_atom_site_fract_x
_atom_site_fract_y
_atom_site_fract_z
Mg1 Mg 0.000 0.000 0.126
Mg2 Mg 0.000 0.500 0.250
Nb1 Nb 0.000 0.000 0.392
Nb2 Nb 0.000 0.500 0.000
# - Volume: 312 Å³ per cell
# - Calculated total energy: -5.645 eV/atom



# MgNb | OQMD | PBE-GGA | optimized geometry
data_MgNb
_cell_length_a 7.473
_cell_length_b 13.892
_cell_length_c 4.429
_cell_angle_alpha 90.00
_cell_angle_beta 90.00
_cell_angle_gamma 90.00
_space_group_name_H-M_alt 'P b c m'
_space_group_IT_number 57
loop_
_space_group_symop_operation_xyz
'x,y,z'
'-x,-y,-z'
'-x,-y,z+1/2'
'x,y,-z+1/2'
'x,-y+1/2,-z'
'-x,y+1/2,z'
'-x,y+1/2,-z+1/2'
'x,-y+1/2,z+1/2'
loop_
_atom_site_label
_atom_site_type_symbol
_atom_site_fract_x
_atom_site_fract_y
_atom_site_fract_z
Mg1 Mg 0.119 0.162 0.250
Mg2 Mg 0.126 0.661 0.750
Mg3 Mg 0.375 0.666 0.250
Nb1 Nb 0.135 0.006 0.750
Nb2 Nb 0.369 0.164 0.750
Nb3 Nb 0.384 0.501 0.750
# - Volume: 460 Å³ per cell
# - Calculated total energy: -5.604 eV/atom



# MgNb | OQMD | PBE-GGA | optimized geometry
data_MgNb
_cell_length_a 5.931
_cell_length_b 4.796
_cell_length_c 8.330
_cell_angle_alpha 90.00
_cell_angle_beta 93.31
_cell_angle_gamma 90.00
_space_group_name_H-M_alt 'P 1 21/m 1'
_space_group_IT_number 11
loop_
_space_group_symop_operation_xyz
'x,y,z'
'-x,-y,-z'
'-x,y+1/2,-z'
'x,-y+1/2,z'
loop_
_atom_site_label
_atom_site_type_symbol
_atom_site_fract_x
_atom_site_fract_y
_atom_site_fract_z
Mg1 Mg 0.111 0.250 0.080
Mg2 Mg 0.276 0.250 0.736
Mg3 Mg 0.386 0.750 0.929
Nb1 Nb 0.056 0.750 0.586
Nb2 Nb 0.226 0.750 0.295
Nb3 Nb 0.439 0.250 0.411
# - Volume: 237 Å³ per cell
# - Calculated total energy: -5.636 eV/atom



# MgNb | OQMD | PBE-GGA | optimized geometry
data_MgNb
_cell_length_a 4.925
_cell_length_b 15.081
_cell_length_c 5.337
_cell_angle_alpha 90.00
_cell_angle_beta 90.00
_cell_angle_gamma 90.00
_space_group_name_H-M_alt 'A m m 2'
_space_group_IT_number 38
loop_
_space_group_symop_operation_xyz
'x,y,z'
'-x,-y,z'
'-x,y,z'
'x,-y,z'
'x,y+1/2,z+1/2'
'-x,-y+1/2,z+1/2'
'-x,y+1/2,z+1/2'
'x,-y+1/2,z+1/2'
loop_
_atom_site_label
_atom_site_type_symbol
_atom_site_fract_x
_atom_site_fract_y
_atom_site_fract_z
Mg1 Mg 0.000 0.000 0.000
Mg2 Mg 0.000 0.198 0.982
Mg3 Mg 0.500 0.199 0.319
Nb1 Nb 0.000 0.087 0.500
Nb2 Nb 0.500 0.000 0.313
Nb3 Nb 0.500 0.088 0.804
# - Volume: 396 Å³ per cell
# - Calculated total energy: -5.590 eV/atom



# MgNb | OQMD | PBE-GGA | optimized geometry
data_MgNb
_cell_length_a 4.735
_cell_length_b 13.909
_cell_length_c 4.735
_cell_angle_alpha 90.00
_cell_angle_beta 90.00
_cell_angle_gamma 90.00
_space_group_name_H-M_alt 'P m m n'
_space_group_IT_number 59
loop_
_space_group_symop_operation_xyz
'x,y,z'
'-x,-y,-z'
'-x+1/2,-y+1/2,z'
'x+1/2,y+1/2,-z'
'x+1/2,-y,-z'
'-x+1/2,y,z'
'-x,y+1/2,-z'
'x,-y+1/2,z'
loop_
_atom_site_label
_atom_site_type_symbol
_atom_site_fract_x
_atom_site_fract_y
_atom_site_fract_z
Mg1 Mg 0.250 0.119 0.247
Mg2 Mg 0.250 0.250 0.746
Mg3 Mg 0.250 0.750 0.752
Nb1 Nb 0.250 0.000 0.748
Nb2 Nb 0.250 0.611 0.252
# - Volume: 312 Å³ per cell
# - Calculated total energy: -5.609 eV/atom



# MgNb5 | OQMD | PBE-GGA | optimized geometry
data_MgNb5
_cell_length_a 5.7152
_cell_length_b 5.7152
_cell_length_c 4.4373
_cell_angle_alpha 90.00
_cell_angle_beta 90.00
_cell_angle_gamma 120.00
_space_group_name_H-M_alt 'P 6/m m m'
_space_group_IT_number 191
_space_group_name_Hall '-P 6 2'
loop_
_atom_site_label
_atom_site_type_symbol
_atom_site_fract_x
_atom_site_fract_y
_atom_site_fract_z
Mg1 Mg 0.0000 0.0000 0.0000
Nb1 Nb 0.0000 0.5000 0.5000
Nb2 Nb 0.3333 0.6667 0.0000
# - Volume: 126 Å³ per cell
# - Calculated total energy: -8.204 eV/atom



# MgNb | OQMD | PBE-GGA | optimized geometry
data_MgNb
_cell_length_a 6.788
_cell_length_b 4.911
_cell_length_c 4.897
_cell_angle_alpha 90.00
_cell_angle_beta 90.00
_cell_angle_gamma 90.00
_space_group_name_H-M_alt 'P b c m'
_space_group_IT_number 57
loop_
_space_group_symop_operation_xyz
'x,y,z'
'-x,-y,-z'
'-x,-y,z+1/2'
'x,y,-z+1/2'
'x,-y+1/2,-z'
'-x,y+1/2,z'
'-x,y+1/2,-z+1/2'
'x,-y+1/2,z+1/2'
loop_
_atom_site_label
_atom_site_type_symbol
_atom_site_fract_x
_atom_site_fract_y
_atom_site_fract_z
Mg1 Mg 0.140 0.007 0.250
Nb1 Nb 0.412 0.506 0.250
# - Volume: 163 Å³ per cell
# - Calculated total energy: -5.624 eV/atom



# MgNb | OQMD | PBE-GGA | optimized geometry
data_MgNb
_cell_length_a 4.827
_cell_length_b 9.335
_cell_length_c 5.243
_cell_angle_alpha 90.00
_cell_angle_beta 90.00
_cell_angle_gamma 90.00
_space_group_name_H-M_alt 'P m c 21'
_space_group_IT_number 26
loop_
_space_group_symop_operation_xyz
'x,y,z'
'-x,-y,z+1/2'
'-x,y,z'
'x,-y,z+1/2'
loop_
_atom_site_label
_atom_site_type_symbol
_atom_site_fract_x
_atom_site_fract_y
_atom_site_fract_z
Mg1 Mg 0.000 0.079 0.000
Mg2 Mg 0.000 0.410 0.982
Mg3 Mg 0.500 0.418 0.315
Nb1 Nb 0.000 0.246 0.496
Nb2 Nb 0.500 0.093 0.347
Nb3 Nb 0.500 0.224 0.798
# - Volume: 236 Å³ per cell
# - Calculated total energy: -5.525 eV/atom